VASP calculation (PBE) on a relaxed structure of TbSc3Co4.

Calculated values
Density of states at the Fermi level (states/eV/cell): 4.52
Total energy (eV/atom): -6.78
Symmetry: P4/mmm, No. 123

Cell lengths 4.4892, 4.4892, 6.3923 Å; angles 90.00, 90.00, 90.00 degrees
Last column: nearest neighbours and their distance in Å.
Atoms (fractional coordinates):
1 Tb 0.0000 0.0000 0.0000  8 Co 2.79
2 Sc 0.0000 0.0000 0.5000  8 Co 2.72
3 Sc 0.5000 0.5000 0.0000  8 Co 2.79
4 Sc 0.5000 0.5000 0.5000  8 Co 2.72
5 Co 0.0000 0.5000 0.2603  6 Sc 2.72-2.79, 2 Tb 2.79
6 Co 0.0000 0.5000 0.7397  6 Sc 2.72-2.79, 2 Tb 2.79
7 Co 0.5000 0.0000 0.2603  6 Sc 2.72-2.79, 2 Tb 2.79
8 Co 0.5000 0.0000 0.7397  6 Sc 2.72-2.79, 2 Tb 2.79